No. 1
Material: Tm2Mg2Pd3
Method: DFT, PBE
State: relaxed

a = 4.8130 Å, b = 7.7783 Å, c = 4.8006 Å
α = 108.10°, β = 120.09°, γ = 90.00°
Positions (direct):
1 Tm 0.6146 0.8461 0.2293
2 Tm 0.3854 0.1539 0.7707
3 Mg 0.8683 0.6078 0.7365
4 Mg 0.1317 0.3922 0.2635
5 Pd 0.0000 0.0000 0.0000
6 Pd 0.7477 0.2392 0.4954
7 Pd 0.2523 0.7608 0.5046

Output
SG: C2/m
N(E_F) in states/eV per atom: 0.509



No. 2
Material: Tm2MgPd9
Method: DFT, PBE
State: relaxed

a = 4.0698 Å, b = 4.0698 Å, c = 12.0768 Å
α = 90.00°, β = 90.00°, γ = 90.00°
Positions (direct):
1 Tm 0.0000 0.0000 0.3285
2 Tm 0.0000 0.0000 0.6715
3 Mg 0.0000 0.0000 0.0000
4 Pd 0.5000 0.5000 0.0000
5 Pd 0.5000 0.5000 0.3309
6 Pd 0.5000 0.5000 0.6691
7 Pd 0.5000 0.0000 0.1596
8 Pd 0.5000 0.0000 0.5000
9 Pd 0.5000 0.0000 0.8404
10 Pd 0.0000 0.5000 0.1596
11 Pd 0.0000 0.5000 0.5000
12 Pd 0.0000 0.5000 0.8404

Output
SG: P4/mmm
N(E_F) in states/eV per atom: 0.869



No. 3
Material: TmMgPd
Method: DFT, PBE
State: relaxed

a = 3.4825 Å, b = 3.4825 Å, c = 5.7983 Å
α = 107.48°, β = 107.48°, γ = 90.00°
Positions (direct):
1 Mg 0.3072 0.3072 0.6144
2 Tm 0.5970 0.5970 0.1939
3 Pd 0.9458 0.9458 0.8916

Output
SG: I4mm
N(E_F) in states/eV per atom: 0.451



No. 4
Material: TmMg3Pd4
Method: DFT, PBE
State: relaxed

a = 4.6491 Å, b = 6.4383 Å, c = 9.2974 Å
α = 90.00°, β = 90.00°, γ = 90.00°
Positions (direct):
1 Mg 0.0000 0.0000 0.0000
2 Mg 0.0000 0.0000 0.5000
3 Mg 0.5012 0.0000 0.7500
4 Mg 0.4988 0.0000 0.2500
5 Mg 0.5006 0.5000 0.7500
6 Mg 0.4994 0.5000 0.2500
7 Tm 0.0000 0.5000 0.0000
8 Tm 0.0000 0.5000 0.5000
9 Pd 0.5000 0.7612 0.0000
10 Pd 0.5000 0.7612 0.5000
11 Pd 0.5000 0.2388 0.0000
12 Pd 0.5000 0.2388 0.5000
13 Pd 0.0011 0.7612 0.7500
14 Pd 0.9989 0.7612 0.2500
15 Pd 0.9989 0.2388 0.2500
16 Pd 0.0011 0.2388 0.7500

Output
SG: Pmma
N(E_F) in states/eV per atom: 0.396



No. 5
Material: Tm2Mg2Pd5
Method: DFT, PBE
State: relaxed

a = 7.2607 Å, b = 5.9054 Å, c = 9.2282 Å
α = 108.66°, β = 113.17°, γ = 90.00°
Positions (direct):
1 Tm 0.0000 0.0375 0.0000
2 Tm 0.5000 0.5375 0.0000
3 Tm 0.1960 0.2870 0.5000
4 Tm 0.8040 0.7870 0.5000
5 Mg 0.1271 0.6204 0.1655
6 Mg 0.8729 0.4550 0.8345
7 Mg 0.5383 0.1204 0.1655
8 Mg 0.4617 0.9550 0.8345
9 Pd 0.1412 0.6783 0.7821
10 Pd 0.8588 0.8963 0.2179
11 Pd 0.1409 0.1783 0.7821
12 Pd 0.8591 0.3963 0.2179
13 Pd 0.4159 0.9527 0.3311
14 Pd 0.5841 0.6216 0.6689
15 Pd 0.4152 0.4527 0.3311
16 Pd 0.5848 0.1216 0.6689
17 Pd 0.1956 0.7873 0.5000
18 Pd 0.8044 0.2873 0.5000

Output
SG: Imma
N(E_F) in states/eV per atom: 0.426



No. 6
Material: Tm3MgPd3
Method: DFT, PBE
State: relaxed

a = 6.7510 Å, b = 6.7510 Å, c = 6.9346 Å
α = 91.83°, β = 91.83°, γ = 98.68°
Positions (direct):
1 Tm 0.6529 0.6529 0.3635
2 Tm 0.1726 0.8274 0.5000
3 Tm 0.8274 0.1726 0.5000
4 Tm 0.2549 0.7451 0.0000
5 Tm 0.7451 0.2549 0.0000
6 Tm 0.3471 0.3471 0.6365
7 Mg 0.7357 0.7357 0.8693
8 Mg 0.2643 0.2643 0.1307
9 Pd 0.9358 0.9358 0.1865
10 Pd 0.9794 0.5042 0.7208
11 Pd 0.5042 0.9794 0.7208
12 Pd 0.0206 0.4958 0.2792
13 Pd 0.4958 0.0206 0.2792
14 Pd 0.0642 0.0642 0.8135

Output
SG: C2/m
N(E_F) in states/eV per atom: 0.704



Record-wise total moment values, in μB/atom: 0.00 0.00 0.00 0.00 0.00 0.00
Record-wise uncorrected energy values, in eV/atom: -4.711 -5.530 -4.331 -4.540 -4.881 -5.049